# ZnTc4Sb

An optimized crystal structure of ZnTc4Sb (PBE, Alexandria).

Calculated values
V	100	Å³/cell
symmetry	No. 216
calculated total energy	-7.34	eV/atom

Geometry as POSCAR:
```
ZnTc4Sb
1.0
0.000 3.685 3.685
3.685 0.000 3.685
3.685 3.685 0.000
Zn Tc Sb
1 4 1
Direct
0.000 0.000 0.000
0.375 0.375 0.375
0.375 0.375 0.875
0.375 0.875 0.375
0.875 0.375 0.375
0.750 0.750 0.750
```